An optimized crystal structure of BaLi2Co. Source: Alexandria, functional PBE-GGA.

The calculation puts the energy above the most stable polymorph in this dataset at 0.056 eV/atom. The crystal system is trigonal.

The space group is R-3m (No. 166, hexagonal axes) and the conventional cell measures 4.5370, 4.5370 and 16.8875 Å, with angles of 90.00, 90.00 and 120.00 degrees. The asymmetric unit holds Ba at (0.0000, 0.0000, 0.0000), Li at (0.0000, 0.0000, 0.1947) and Co at (0.0000, 0.0000, 0.5000).

An optimized crystal structure of LiEr2OsO6. Source: Alexandria, functional PBE-GGA.

The uncorrected formation energy is -2438 meV/atom. The crystal system is trigonal.

The space group is R3 (No. 146, hexagonal axes) and the conventional cell measures 5.4792, 5.4792 and 14.7744 Å, with angles of 90.00, 90.00 and 120.00 degrees. The asymmetric unit holds Li at (0.0000, 0.0000, 0.0000), Er at (0.0000, 0.0000, 0.2608), Er at (0.0000, 0.0000, 0.7678), Os at (0.0000, 0.0000, 0.4640), O at (0.0100, 0.3776, 0.2005) and O at (0.0580, 0.6855, 0.0438).

An optimized crystal structure of CrPtSeN2. Source: Alexandria, functional PBE-GGA.

The uncorrected formation energy is 1425 meV/atom. The calculation puts the energy above the most stable polymorph in this dataset at 0.779 eV/atom. The crystal system is tetragonal.

The space group is P4/mmm (No. 123) and the conventional cell measures 3.680, 3.680 and 8.228 Å, with angles of 90.00, 90.00 and 90.00 degrees. The asymmetric unit holds Cr at (0.000, 0.000, 0.000), Pt at (0.500, 0.500, 0.500), Se at (0.500, 0.500, 0.000) and N at (0.000, 0.500, 0.500).

An optimized crystal structure of ThH8Rh2. Source: Alexandria, functional PBE-GGA.

The calculation puts the energy above the most stable polymorph in this dataset at 0.096 eV/atom. The crystal system is tetragonal.

The space group is I4/mmm (No. 139) and the conventional cell measures 4.490, 4.490 and 9.796 Å, with angles of 90.00, 90.00 and 90.00 degrees. The asymmetric unit holds Th at (0.000, 0.000, 0.000), H at (0.221, 0.221, 0.342) and Rh at (0.000, 0.500, 0.250).

An optimized crystal structure of La4As5. Source: Alexandria, functional PBE-GGA.

The calculation puts the energy above the most stable polymorph in this dataset at 0.211 eV/atom. The crystal system is tetragonal.

The space group is I4/mmm (No. 139) and the conventional cell measures 10.793, 10.793 and 4.451 Å, with angles of 90.00, 90.00 and 90.00 degrees. The asymmetric unit holds La at (0.000, 0.267, 0.000), As at (0.000, 0.000, 0.000) and As at (0.202, 0.202, 0.500).

An optimized crystal structure of Tl3HgW. Source: Alexandria, functional PBE-GGA.

The calculation puts the energy above the most stable polymorph in this dataset at 0.819 eV/atom. The crystal system is cubic.

The space group is Pm-3m (No. 221) and the conventional cell measures 5.653, 5.653 and 5.653 Å, with angles of 90.00, 90.00 and 90.00 degrees. The asymmetric unit holds Tl at (0.000, 0.000, 0.500), Hg at (0.000, 0.000, 0.000) and W at (0.500, 0.500, 0.500).

An optimized crystal structure of Pm3Zn3Ag8. Source: Alexandria, functional PBE-GGA.

The value obtained for the energy is -3.13 eV per atom. The crystal system is orthorhombic.

The space group is Immm (No. 71) and the conventional cell measures 4.646, 9.765 and 12.934 Å, with angles of 90.00, 90.00 and 90.00 degrees. The asymmetric unit holds Pm at (0.000, 0.000, 0.000), Pm at (0.000, 0.000, 0.298), Zn at (0.000, 0.183, 0.500), Zn at (0.000, 0.500, 0.000), Ag at (0.000, 0.289, 0.124) and Ag at (0.000, 0.360, 0.340).

An optimized crystal structure of Zr4CoCu. Source: Alexandria, functional PBE-GGA.

The calculation puts the energy above the most stable polymorph in this dataset at 0.000 eV/atom. The crystal system is tetragonal.

The space group is P4/mcc (No. 124) and the conventional cell measures 6.534, 6.534 and 5.318 Å, with angles of 90.00, 90.00 and 90.00 degrees. The asymmetric unit holds Zr at (0.155, 0.328, 0.000), Co at (0.000, 0.000, 0.250) and Cu at (0.500, 0.500, 0.250).

An optimized crystal structure of Ga2Tc2Ge. Source: Alexandria, functional PBE-GGA.

The calculation puts the energy above the most stable polymorph in this dataset at 0.224 eV/atom. The crystal system is tetragonal.

The space group is I4/mmm (No. 139) and the conventional cell measures 3.405, 3.405 and 13.474 Å, with angles of 90.00, 90.00 and 90.00 degrees. The asymmetric unit holds Ga at (0.000, 0.500, 0.250), Tc at (0.000, 0.000, 0.098) and Ge at (0.000, 0.000, 0.500).

An optimized crystal structure of BPd2Pb. Source: Alexandria, functional PBE-GGA.

The calculation puts the energy above the most stable polymorph in this dataset at 0.273 eV/atom. The crystal system is tetragonal.

The space group is I-42d (No. 122) and the conventional cell measures 5.351, 5.351 and 11.203 Å, with angles of 90.00, 90.00 and 90.00 degrees. The asymmetric unit holds B at (0.000, 0.000, 0.000), Pd at (0.124, 0.250, 0.125) and Pb at (0.000, 0.000, 0.500).

An optimized crystal structure of Co2AgCl. Source: Alexandria, functional PBE-GGA.

The uncorrected formation energy is 562 meV/atom. The calculation puts the energy above the most stable polymorph in this dataset at 0.360 eV/atom. The crystal system is tetragonal.

The space group is P4/mmm (No. 123) and the conventional cell measures 2.935, 2.935 and 6.634 Å, with angles of 90.00, 90.00 and 90.00 degrees. The asymmetric unit holds Co at (0.000, 0.000, 0.228), Ag at (0.500, 0.500, 0.500) and Cl at (0.500, 0.500, 0.000).

An optimized crystal structure of DyCd2Hg. Source: Alexandria, functional PBE-GGA.

The calculation puts the energy above the most stable polymorph in this dataset at 0.473 eV/atom. The crystal system is trigonal.

The space group is R-3m (No. 166, hexagonal axes) and the conventional cell measures 3.2987, 3.2987 and 34.1882 Å, with angles of 90.00, 90.00 and 120.00 degrees. The asymmetric unit holds Dy at (0.0000, 0.0000, 0.0000), Cd at (0.0000, 0.0000, 0.0915) and Hg at (0.0000, 0.0000, 0.5000).

An optimized crystal structure of NdSnPd3. Source: Alexandria, functional PBE-GGA.

The calculation puts the energy above the most stable polymorph in this dataset at 0.000 eV/atom. The crystal system is orthorhombic.

The space group is Imma (No. 74) and the conventional cell measures 5.593, 8.025 and 9.209 Å, with angles of 90.00, 90.00 and 90.00 degrees. The asymmetric unit holds Nd at (0.000, 0.250, 0.003), Sn at (0.000, 0.000, 0.500), Pd at (0.000, 0.250, 0.688) and Pd at (0.250, 0.059, 0.250).

An optimized crystal structure of Pa4GaTc5. Source: Alexandria, functional PBE-GGA.

The value obtained for the energy is -9.39 eV per atom. The crystal system is orthorhombic.

The space group is Pmmn (No. 59, origin choice 2) and the conventional cell measures 8.105, 9.434 and 5.192 Å, with angles of 90.00, 90.00 and 90.00 degrees. The asymmetric unit holds Pa at (0.056, 0.250, 0.152), Pa at (0.250, 0.561, 0.252), Ga at (0.250, 0.250, 0.644), Tc at (0.066, 0.023, 0.740) and Tc at (0.250, 0.750, 0.761).

An optimized crystal structure of Pm3Sm3Tl. Source: Alexandria, functional PBE-GGA.

The calculation puts the energy above the most stable polymorph in this dataset at 0.006 eV/atom. The crystal system is hexagonal.

The space group is P6_3/m (No. 176) and the conventional cell measures 9.5480, 9.5480 and 5.7216 Å, with angles of 90.00, 90.00 and 120.00 degrees. The asymmetric unit holds Pm at (0.0661, 0.2465, 0.2500), Sm at (0.1080, 0.4820, 0.7500) and Tl at (0.3333, 0.6667, 0.2500).

An optimized crystal structure of HfReI2. Source: Alexandria, functional PBE-GGA.

The uncorrected formation energy is 1010 meV/atom. The calculation puts the energy above the most stable polymorph in this dataset at 0.000 eV/atom. The crystal system is cubic.

The space group is Fm-3m (No. 225) and the conventional cell measures 6.915, 6.915 and 6.915 Å, with angles of 90.00, 90.00 and 90.00 degrees. The asymmetric unit holds Hf at (0.000, 0.000, 0.000), Re at (0.000, 0.000, 0.500) and I at (0.250, 0.250, 0.250).

An optimized crystal structure of PrGdAgHg. Source: Alexandria, functional PBE-GGA.

The value obtained for the energy is -5.88 eV per atom. The crystal system is cubic.

The space group is F-43m (No. 216) and the conventional cell measures 7.537, 7.537 and 7.537 Å, with angles of 90.00, 90.00 and 90.00 degrees. The asymmetric unit holds Pr at (0.000, 0.000, 0.000), Gd at (0.000, 0.000, 0.500), Ag at (0.250, 0.250, 0.750) and Hg at (0.250, 0.250, 0.250).

An optimized crystal structure of ScTe2As. Source: Alexandria, functional PBE-GGA.

The uncorrected formation energy is -61 meV/atom. The crystal system is cubic.

The space group is F-43m (No. 216) and the conventional cell measures 7.296, 7.296 and 7.296 Å, with angles of 90.00, 90.00 and 90.00 degrees. The asymmetric unit holds Sc at (0.000, 0.000, 0.000), Te at (0.000, 0.000, 0.500), Te at (0.250, 0.250, 0.250) and As at (0.250, 0.250, 0.750).

An optimized crystal structure of CaPu2Mn. Source: Alexandria, functional PBE-GGA.

The value obtained for the energy is -9.78 eV per atom. The crystal system is tetragonal.

The space group is P4/mmm (No. 123) and the conventional cell measures 3.316, 3.316 and 9.213 Å, with angles of 90.00, 90.00 and 90.00 degrees. The asymmetric unit holds Ca at (0.000, 0.000, 0.000), Pu at (0.500, 0.500, 0.318) and Mn at (0.000, 0.000, 0.500).

An optimized crystal structure of LaErMoN3. Source: Alexandria, functional PBE-GGA.

The uncorrected formation energy is -1209 meV/atom. The crystal system is monoclinic.

The space group is P2_1/m (No. 11) and the conventional cell measures 5.906, 3.382 and 8.535 Å, with angles of 90.00, 103.68 and 90.00 degrees. The asymmetric unit holds La at (0.138, 0.250, 0.190), Er at (0.267, 0.750, 0.553), Mo at (0.391, 0.250, 0.878), N at (0.075, 0.250, 0.671), N at (0.259, 0.750, 0.982) and N at (0.458, 0.750, 0.327).

no.,M_tot (μB per formula unit)
1,0.841
2,3.000
3,0.096
4,0.000
5,0.079
6,4.458
7,0.000
8,0.000
9,0.000
10,0.000
11,3.730
12,0.000
13,0.000
14,0.000
15,0.001
16,0.000
17,7.571
18,0.000
19,9.507
20,0.000